Ce2TmTh3 (GGA-PBE, relaxed); energy of formation from the pure elements = 44 kJ/mol of formula units; space group = P-1 (2); spin magnetization = 0.01 μB per cell
1.0
6.800 0.000 0.000
1.824 6.742 0.000
2.278 -0.519 8.049
Ce Tm Th
4 2 6
Cartesian
1.220 1.539 1.656
3.734 2.712 3.864
7.168 3.511 4.185
9.682 4.684 6.392
6.270 5.648 6.957
4.632 0.575 1.092
2.109 4.881 1.572
4.662 5.988 3.825
5.402 2.293 6.896
5.500 3.930 1.153
6.240 0.235 4.223
8.793 1.342 6.477